Computed, not measured: a relaxed MgCd4In6 crystal at the PBE level of DFT.

Computed properties:
As for the energy: -1.94 eV/atom. The density comes out at 6815 kg/m³. The value obtained for the formation enthalpy at 0 K is 0.3 eV per formula unit. Its space group is Cm.

Unit cell a=6.354 b=6.354 c=7.325 alpha=101.70 beta=101.70 gamma=89.73
Element x y z (fractional)
In: 0.995 0.500 0.999
Cd: 0.670 0.670 0.677
Cd: 0.334 0.830 0.324
In: 0.657 0.182 0.677
Mg: 0.000 0.000 0.999
In: 0.832 0.832 0.339
In: 0.182 0.657 0.677
In: 0.500 0.995 0.999
In: 0.340 0.340 0.319
Cd: 0.162 0.162 0.665
Cd: 0.830 0.334 0.324